Entry 1:
Er2TmCo | GGA-PBE | optimized geometry

The calculation puts the energy above the lowest structure with this stoichiometry at 26 meV/atom.

It has space group P2_1/m (No. 11), with a = 3.6539 Å, b = 9.1442 Å, c = 6.1888 Å, α = 90.00°, β = 107.16° and γ = 90.00°. The asymmetric unit holds Er at (0.1402, 0.0707, 0.2809), Tm at (0.4175, 0.2500, 0.8340) and Co at (0.2503, 0.7500, 0.5012).

Entry 2:
TbCeTlCu | GGA-PBE | optimized geometry

It has space group F-43m (No. 216), with a = 7.4377 Å, b = 7.4377 Å, c = 7.4377 Å, α = 90.00°, β = 90.00° and γ = 90.00°. The asymmetric unit holds Tb at (0.0000, 0.0000, 0.0000), Ce at (0.0000, 0.0000, 0.5000), Tl at (0.2500, 0.2500, 0.7500) and Cu at (0.2500, 0.2500, 0.2500).

Entry 3:
Li5Ti2Pd12 | GGA-PBE | optimized geometry

It has space group C2/m (No. 12), with a = 13.3003 Å, b = 5.9164 Å, c = 7.8916 Å, α = 90.00°, β = 105.05° and γ = 90.00°. The asymmetric unit holds Li at (0.0000, 0.0000, 0.0000), Li at (0.1599, 0.5000, 0.3833), Li at (0.2494, 0.5000, 0.9885), Ti at (0.0000, 0.2551, 0.5000), Pd at (0.0455, 0.5000, 0.7866), Pd at (0.0565, 0.0000, 0.7607), Pd at (0.1138, 0.2649, 0.1228) and Pd at (0.1940, 0.2625, 0.6439).

Entry 4:
TlHgBr3 | GGA-PBE | optimized geometry

The formation energy (no corrections) is -0.61 eV per atom. The calculation puts the energy above the lowest structure with this stoichiometry at 0 meV/atom.

It has space group P-1 (No. 2), with a = 4.5453 Å, b = 8.5077 Å, c = 9.8597 Å, α = 103.17°, β = 90.03° and γ = 90.01°. The asymmetric unit holds Tl at (0.2499, 0.2475, 0.3283), Hg at (0.2509, 0.3300, 0.7882), Br at (0.2502, 0.0427, 0.8177), Br at (0.2498, 0.6711, 0.4057) and Br at (0.2508, 0.6347, 0.8878).

Entry 5:
La2Nd4Y | GGA-PBE | optimized geometry

The calculation puts the energy above the lowest structure with this stoichiometry at 0 meV/atom.

It has space group P2/m (No. 10), with a = 7.0820 Å, b = 10.6875 Å, c = 7.1017 Å, α = 90.00°, β = 106.83° and γ = 90.00°. The asymmetric unit holds La at (0.0000, 0.0000, 0.0000), La at (0.0000, 0.0000, 0.5000), La at (0.0000, 0.5000, 0.0000), La at (0.5000, 0.0000, 0.0000), Nd at (0.2674, 0.2206, 0.3141), Nd at (0.2757, 0.2900, 0.8121), Y at (0.0000, 0.5000, 0.5000) and Y at (0.5000, 0.5000, 0.5000).

Entry 6:
RbSn3As3 | GGA-PBE | optimized geometry

The calculation puts the energy above the lowest structure with this stoichiometry at 152 meV/atom.

It has space group R-3 (No. 148, hexagonal axes), with a = 6.8246 Å, b = 6.8246 Å, c = 33.8708 Å, α = 90.00°, β = 90.00° and γ = 120.00°. The asymmetric unit holds Rb at (0.0000, 0.0000, 0.1666), Sn at (0.9998, 0.3360, 0.6239) and As at (0.9998, 0.3290, 0.4199).

Number 1: energy -5.341 eV/atom. Number 2: energy -4.386 eV/atom. Number 3: energy -4.758 eV/atom. Number 4: energy -2.152 eV/atom. Number 5: energy -4.877 eV/atom. Number 6: energy -3.958 eV/atom.